This record from Alexandria via LeMat-Bulk describes a relaxed LiAcP2Pt2 crystal. The functional is PBE-GGA.

Output
E_form: -980 meV per atom
Total magnetization: 0.0 μB/f.u.

Unit cell a=4.211 b=4.211 c=7.129 alpha=90.00 beta=90.00 gamma=120.00
Element x y z (fractional)
Li (0.000, 0.000, 0.000)
Ac (0.000, 0.000, 0.500)
P (0.333, 0.667, 0.203)
P (0.667, 0.333, 0.797)
Pt (0.333, 0.667, 0.826)
Pt (0.667, 0.333, 0.174)